Li4NpAu5: optimized geometry, PBE.

```
Li4NpAu5
1.0
3.217 0.000 0.000
0.000 3.217 0.000
0.000 0.000 16.130
Li Np Au
4 1 5
Cartesian
0.000 0.000 1.479
0.000 0.000 4.418
0.000 0.000 11.712
0.000 0.000 14.651
0.000 0.000 8.065
1.609 1.609 0.000
1.609 1.609 2.954
1.609 1.609 5.909
1.609 1.609 10.221
1.609 1.609 13.176
```

Summary:
The crystal system is tetragonal. The formation energy from the elements comes out at -0.45 eV/atom.